Below is a relaxed structure of Ca2Tm2Cd15, with properties calculated at the PBE-GGA level.

a b c (Å): 7.964 7.964 7.964
angles (deg): 77.94 77.94 77.94
Fractional coordinates of all 19 atoms:
Ca 0.174 0.174 0.174
Ca 0.826 0.826 0.826
Tm 0.404 0.404 0.404
Tm 0.596 0.596 0.596
Cd 0.000 0.500 0.500
Cd 0.132 0.132 0.645
Cd 0.132 0.645 0.132
Cd 0.205 0.500 0.795
Cd 0.205 0.795 0.500
Cd 0.355 0.868 0.868
Cd 0.500 0.000 0.500
Cd 0.500 0.205 0.795
Cd 0.500 0.500 0.000
Cd 0.500 0.795 0.205
Cd 0.645 0.132 0.132
Cd 0.795 0.205 0.500
Cd 0.795 0.500 0.205
Cd 0.868 0.355 0.868
Cd 0.868 0.868 0.355

Calculated values
Formation energy from the elements (kJ per mole of atoms): -13
Final energy (eV for the cell shown): -29.28
Density (g cm⁻³): 7.3
Volume (Å³/f.u.): 475.7
Size of the total moment (μB per formula unit): 0.00

Below is a relaxed structure of CaTm2Cd, with properties calculated at the PBE-GGA level.

a b c (Å): 4.948 4.948 4.706
angles (deg): 90.00 90.00 90.00
Fractional coordinates of all 4 atoms:
Ca 0.000 0.000 0.000
Tm 0.000 0.500 0.500
Tm 0.500 0.000 0.500
Cd 0.500 0.500 0.000

Calculated values
Formation energy from the elements (kJ per mole of atoms): -2
Final energy (eV for the cell shown): -11.94
Density (g cm⁻³): 7.1
Volume (Å³/f.u.): 115.2
Size of the total moment (μB per formula unit): 0.00
Energy above the most stable polymorph in this dataset (kJ/mol of formula units): 13

Below is a relaxed structure of CaTm2Cd, with properties calculated at the PBE-GGA level.

a b c (Å): 3.694 3.694 9.062
angles (deg): 90.00 90.00 90.00
Fractional coordinates of all 4 atoms:
Ca 0.000 0.000 0.000
Tm 0.500 0.500 0.302
Tm 0.500 0.500 0.698
Cd 0.000 0.000 0.500

Calculated values
Formation energy from the elements (kJ per mole of atoms): -5
Final energy (eV for the cell shown): -12.08
Density (g cm⁻³): 6.6
Volume (Å³/f.u.): 123.7
Size of the total moment (μB per formula unit): 0.00
Energy above the most stable polymorph in this dataset (kJ/mol of formula units): 0

Below is a relaxed structure of CaTmZnCd, with properties calculated at the PBE-GGA level.

a b c (Å): 3.674 3.674 7.381
angles (deg): 90.00 90.00 90.00
Fractional coordinates of all 4 atoms:
Ca 0.000 0.000 0.000
Tm 0.000 0.000 0.529
Zn 0.500 0.500 0.739
Cd 0.500 0.500 0.279

Calculated values
Formation energy from the elements (kJ per mole of atoms): -31
Final energy (eV for the cell shown): -9.94
Density (g cm⁻³): 6.4
Volume (Å³/f.u.): 99.7
Size of the total moment (μB per formula unit): 0.00
Energy above the most stable polymorph in this dataset (kJ/mol of formula units): 0

Below is a relaxed structure of CaTmZnCd, with properties calculated at the PBE-GGA level.

a b c (Å): 5.200 5.200 5.200
angles (deg): 60.00 60.00 60.00
Fractional coordinates of all 4 atoms:
Ca 0.000 0.000 0.000
Tm 0.500 0.500 0.500
Zn 0.250 0.250 0.250
Cd 0.750 0.750 0.750

Calculated values
Formation energy from the elements (kJ per mole of atoms): -28
Final energy (eV for the cell shown): -9.81
Density (g cm⁻³): 6.5
Volume (Å³/f.u.): 99.4
Size of the total moment (μB per formula unit): 0.00
Energy above the most stable polymorph in this dataset (kJ/mol of formula units): 12

Below is a relaxed structure of CaVCd, with properties calculated at the PBE-GGA level.

a b c (Å): 5.816 5.816 5.816
angles (deg): 121.43 114.95 93.25
Fractional coordinates of all 6 atoms:
Ca 0.000 0.000 0.000
Ca 0.734 0.234 0.500
V 0.357 0.022 0.665
V 0.357 0.692 0.335
Cd 0.355 0.588 0.767
Cd 0.821 0.588 0.233

Calculated values
Formation energy from the elements (kJ per mole of atoms): 18
Final energy (eV for the cell shown): -22.96
Density (g cm⁻³): 4.8
Volume (Å³/f.u.): 71.1
Size of the total moment (μB per formula unit): 0.00
Energy above the most stable polymorph in this dataset (kJ/mol of formula units): 0

Below is a relaxed structure of CaVCd, with properties calculated at the PBE-GGA level.

a b c (Å): 5.291 5.291 6.129
angles (deg): 104.61 104.61 59.75
Fractional coordinates of all 6 atoms:
Ca 0.000 0.000 0.000
Ca 0.738 0.738 0.346
V 0.092 0.092 0.546
V 0.287 0.287 0.749
Cd 0.391 0.391 0.303
Cd 0.621 0.621 0.772

Calculated values
Formation energy from the elements (kJ per mole of atoms): 22
Final energy (eV for the cell shown): -22.70
Density (g cm⁻³): 4.8
Volume (Å³/f.u.): 70.9
Size of the total moment (μB per formula unit): 0.00
Energy above the most stable polymorph in this dataset (kJ/mol of formula units): 13

Below is a relaxed structure of CaVCd2, with properties calculated at the PBE-GGA level.

a b c (Å): 10.874 10.874 10.874
angles (deg): 156.00 156.00 34.19
Fractional coordinates of all 8 atoms:
Ca 0.000 0.000 0.000
Ca 0.750 0.250 0.500
V 0.250 0.750 0.500
V 0.500 0.500 0.000
Cd 0.177 0.625 0.052
Cd 0.375 0.427 0.552
Cd 0.573 0.125 0.948
Cd 0.875 0.823 0.448

Calculated values
Formation energy from the elements (kJ per mole of atoms): 47
Final energy (eV for the cell shown): -22.03
Density (g cm⁻³): 4.9
Volume (Å³/f.u.): 106.2
Size of the total moment (μB per formula unit): 3.83

Below is a relaxed structure of CaVCd, with properties calculated at the PBE-GGA level.

a b c (Å): 4.389 5.856 5.952
angles (deg): 80.81 77.38 81.47
Fractional coordinates of all 6 atoms:
Ca 0.197 0.231 0.408
Ca 0.803 0.769 0.592
V 0.199 0.917 0.982
V 0.801 0.083 0.018
Cd 0.310 0.404 0.858
Cd 0.690 0.596 0.142

Calculated values
Formation energy from the elements (kJ per mole of atoms): 23
Final energy (eV for the cell shown): -22.66
Density (g cm⁻³): 4.6
Volume (Å³/f.u.): 73.2
Size of the total moment (μB per formula unit): 0.00
Energy above the most stable polymorph in this dataset (kJ/mol of formula units): 15

Below is a relaxed structure of CaVCd, with properties calculated at the PBE-GGA level.

a b c (Å): 4.111 5.672 6.602
angles (deg): 97.58 94.48 110.06
Fractional coordinates of all 6 atoms:
Ca 0.009 0.441 0.257
Ca 0.991 0.559 0.743
V 0.319 0.053 0.454
V 0.681 0.947 0.546
Cd 0.319 0.155 0.895
Cd 0.681 0.845 0.105

Calculated values
Formation energy from the elements (kJ per mole of atoms): 22
Final energy (eV for the cell shown): -22.71
Density (g cm⁻³): 4.8
Volume (Å³/f.u.): 71.0
Size of the total moment (μB per formula unit): 0.00
Energy above the most stable polymorph in this dataset (kJ/mol of formula units): 12

Below is a relaxed structure of CaV3Cd, with properties calculated at the PBE-GGA level.

a b c (Å): 5.138 5.138 5.138
angles (deg): 90.00 90.00 90.00
Fractional coordinates of all 5 atoms:
Ca 0.000 0.000 0.000
V 0.000 0.500 0.500
V 0.500 0.000 0.500
V 0.500 0.500 0.000
Cd 0.500 0.500 0.500

Calculated values
Formation energy from the elements (kJ per mole of atoms): 136
Final energy (eV for the cell shown): -23.21
Density (g cm⁻³): 3.7
Volume (Å³/f.u.): 135.6
Size of the total moment (μB per formula unit): 10.75
Energy above the most stable polymorph in this dataset (kJ/mol of formula units): 0

Below is a relaxed structure of CaV3Cd, with properties calculated at the PBE-GGA level.

a b c (Å): 4.488 4.488 4.488
angles (deg): 90.00 90.00 90.00
Fractional coordinates of all 5 atoms:
Ca 0.000 0.000 0.000
V 0.000 0.000 0.500
V 0.000 0.500 0.000
V 0.500 0.000 0.000
Cd 0.500 0.500 0.500

Calculated values
Formation energy from the elements (kJ per mole of atoms): 199
Final energy (eV for the cell shown): -19.95
Density (g cm⁻³): 5.6
Volume (Å³/f.u.): 90.4
Size of the total moment (μB per formula unit): 0.00
Energy above the most stable polymorph in this dataset (kJ/mol of formula units): 315